An optimized crystal structure of NiIrF3. Source: Alexandria, functional PBE+U.

Computed properties:
Crystal system ... cubic
Uncorrected energy ... -0.2895 Ry per atom

Lattice parameters (Å, degrees): 4.0161 4.0161 4.0161 90.00 90.00 90.00
Element x y z (fractional)
Ni1 0.0000 0.0000 0.0000
Ir1 0.5000 0.5000 0.5000
F1 0.0000 0.0000 0.5000
F2 0.0000 0.5000 0.0000
F3 0.5000 0.0000 0.0000

An optimized crystal structure of NiIr2F8. Source: Alexandria, functional PBE+U.

Computed properties:
Crystal system ... monoclinic
Uncorrected energy ... -0.3366 Ry per atom

Lattice parameters (Å, degrees): 6.0505 6.0505 4.0479 102.96 102.96 74.79
Element x y z (fractional)
Ni1 0.0000 0.0000 0.0000
Ir1 0.3695 0.3695 0.8733
Ir2 0.6305 0.6305 0.1267
F1 0.0989 0.6308 0.8375
F2 0.1355 0.1355 0.6978
F3 0.3565 0.3565 0.3662
F4 0.3692 0.9011 0.1625
F5 0.6308 0.0989 0.8375
F6 0.6435 0.6435 0.6338
F7 0.8645 0.8645 0.3022
F8 0.9011 0.3692 0.1625

An optimized crystal structure of Ni3IrF. Source: Alexandria, functional PBE+U.

Computed properties:
Crystal system ... cubic
Uncorrected energy ... -0.1746 Ry per atom

Lattice parameters (Å, degrees): 4.6982 4.6982 4.6982 90.00 90.00 90.00
Element x y z (fractional)
Ni1 0.0000 0.0000 0.5000
Ni2 0.0000 0.5000 0.0000
Ni3 0.5000 0.0000 0.0000
Ir1 0.0000 0.0000 0.0000
F1 0.5000 0.5000 0.5000